## LiSnBi (PBE-GGA)

Data for an optimized crystal structure of LiSnBi.

Cell lengths 5.881, 5.874, 6.604 Å; angles 90.00, 90.00, 135.43 degrees
Fractional coordinates of all 6 atoms:
Sn1 0.652 0.849 0.250
Sn2 0.348 0.151 0.750
Li1 0.000 0.500 0.500
Li2 0.000 0.500 0.000
Bi1 0.644 0.856 0.750
Bi2 0.356 0.144 0.250

Computed properties:
- ΔE to the lowest computed polymorph (meV per atom) = 48


## Li4SnBi2 (PBE-GGA)

Data for an optimized crystal structure of Li4SnBi2.

Cell lengths 5.338, 5.338, 6.908 Å; angles 112.73, 112.73, 90.00 degrees
Fractional coordinates of all 7 atoms:
Bi1 0.633 0.633 0.267
Bi2 0.367 0.367 0.733
Li1 0.250 0.750 0.500
Li2 0.750 0.250 0.500
Li3 0.500 0.000 0.000
Li4 0.000 0.500 0.000
Sn1 0.000 0.000 0.000

Computed properties:
- ΔE to the lowest computed polymorph (meV per atom) = 201


## Li4SnBi2 (PBE-GGA)

Data for an optimized crystal structure of Li4SnBi2.

Cell lengths 4.913, 4.913, 8.448 Å; angles 73.10, 73.10, 60.00 degrees
Fractional coordinates of all 7 atoms:
Bi1 0.250 0.250 0.251
Bi2 0.750 0.750 0.749
Sn1 0.000 0.000 0.000
Li1 0.128 0.128 0.617
Li2 0.618 0.618 0.145
Li3 0.872 0.872 0.383
Li4 0.382 0.382 0.855

Computed properties:
- ΔE to the lowest computed polymorph (meV per atom) = 0